A relaxed Rb2BePH crystal, computed with PBE-GGA.

Summary:
calculated volume: 249.3 Å³/cell
mass density: 2.8 g/cm3
E above lowest polymorph: 0.00 eV/f.u.

Structure (CIF):
```
data_Rb2BePH
_chemical_formula_sum 'Rb4 Be2 P2 H2'
_cell_length_a 6.9982
_cell_length_b 3.8099
_cell_length_c 9.9727
_cell_angle_alpha 90.00
_cell_angle_beta 110.37
_cell_angle_gamma 90.00
_symmetry_space_group_name_H-M 'P 1 21/m 1'
_symmetry_Int_Tables_number 11
_symmetry_space_group_name_Hall '-P 2yb'
loop_
_atom_site_label
_atom_site_type_symbol
_atom_site_fract_x
_atom_site_fract_y
_atom_site_fract_z
Rb1 Rb 0.2157 0.2500 0.4122
Rb2 Rb 0.2734 0.7500 0.0549
Be1 Be 0.2200 0.2500 0.7586
P1 P 0.3348 0.7500 0.7222
H1 H 0.0511 0.2500 0.8188
```